1.
## MgTaH (PBE-GGA)

Data for crystalline MgTaH at its relaxed geometry.

Output
energy above the most stable polymorph in this dataset	27	kJ/mol of formula units
SG	P3m1, No. 156
size of the total moment	0.00	μB/f.u.
energy	-5.564	eV per atom
Fermi-level density of states	0.92	states/eV per cell

Unit cell a=3.0686 b=3.0686 c=5.0372 alpha=90.00 beta=90.00 gamma=120.00
Closest atoms and distances in Å follow each position.
Positions (direct):
1 Mg 0.0000 0.0000 0.0000  3 H 2.50
2 Ta 0.6667 0.3333 0.4873  3 H 1.95
3 H 0.3333 0.6667 0.6509  3 Ta 1.95

2.
## LiTlIn14 (PBE-GGA)

Data for crystalline LiTlIn14 at its relaxed geometry.

Output
SG	P4/mmm, No. 123
size of the total moment	0.00	μB/f.u.
energy of formation	-0.0131	eV/atom
energy	-2.677	eV per atom
Fermi-level density of states	4.25	states/eV per cell

Unit cell a=7.0237 b=7.0237 c=8.6740 alpha=90.00 beta=90.00 gamma=90.00
Closest atoms and distances in Å follow each position.
Positions (direct):
1 Li 0.0000 0.0000 0.0000  12 In 3.24-3.51
2 Tl 0.5000 0.5000 0.0000  12 In 3.32-3.51
3 In 0.0000 0.0000 0.5000  12 In 3.27-3.51
4 In 0.0000 0.5000 0.0000  8 In 3.28, 2 Tl 3.51, 2 Li 3.51
5 In 0.0000 0.5000 0.5000  12 In 3.31-3.51
6 In 0.2447 0.2447 0.2470  1 Li 3.24, 10 In 3.27-3.59, 1 Tl 3.32
7 In 0.2447 0.2447 0.7530  1 Li 3.24, 10 In 3.27-3.59, 1 Tl 3.32
8 In 0.2447 0.7553 0.2470  1 Li 3.24, 10 In 3.27-3.59, 1 Tl 3.32
9 In 0.2447 0.7553 0.7530  1 Li 3.24, 10 In 3.27-3.59, 1 Tl 3.32
10 In 0.5000 0.0000 0.0000  8 In 3.28, 2 Tl 3.51, 2 Li 3.51
11 In 0.5000 0.0000 0.5000  12 In 3.31-3.51
12 In 0.5000 0.5000 0.5000  12 In 3.35-3.51
13 In 0.7553 0.2447 0.2470  1 Li 3.24, 10 In 3.27-3.59, 1 Tl 3.32
14 In 0.7553 0.2447 0.7530  1 Li 3.24, 10 In 3.27-3.59, 1 Tl 3.32
15 In 0.7553 0.7553 0.2470  1 Li 3.24, 10 In 3.27-3.59, 1 Tl 3.32
16 In 0.7553 0.7553 0.7530  1 Li 3.24, 10 In 3.27-3.59, 1 Tl 3.32

3.
## Sm2Y3PuTe6 (PBE-GGA)

Data for crystalline Sm2Y3PuTe6 at its relaxed geometry.

Output
raw formation energy	-1316	meV per atom
SG	C2/m, No. 12
size of the total moment	6.13	μB/f.u.
energy	-6.484	eV per atom
Fermi-level density of states	12.83	states/eV per cell

Unit cell a=9.8492 b=9.8492 c=8.8446 alpha=103.21 beta=103.21 gamma=25.70
Closest atoms and distances in Å follow each position.
Positions (direct):
1 Sm 0.1655 0.1655 0.3316  6 Te 3.13-3.15
2 Sm 0.8345 0.8345 0.6684  6 Te 3.13-3.15
3 Y 0.1674 0.1674 0.8354  6 Te 3.08-3.09
4 Y 0.5000 0.5000 0.5000  6 Te 3.09
5 Y 0.8326 0.8326 0.1646  6 Te 3.08-3.09
6 Pu 0.5000 0.5000 0.0000  6 Te 3.13
7 Te 0.0021 0.0021 0.7481  3 Y 3.09, 1 Sm 3.13, 2 Pu 3.13
8 Te 0.3326 0.3326 0.9203  3 Y 3.08, 1 Pu 3.13, 2 Sm 3.13
9 Te 0.3343 0.3343 0.4126  3 Y 3.09, 3 Sm 3.15
10 Te 0.6657 0.6657 0.5874  3 Y 3.09, 3 Sm 3.15
11 Te 0.6674 0.6674 0.0797  3 Y 3.08, 1 Pu 3.13, 2 Sm 3.13
12 Te 0.9979 0.9979 0.2519  3 Y 3.09, 1 Sm 3.13, 2 Pu 3.13

4.
## Ba2RePSe (PBE-GGA)

Data for crystalline Ba2RePSe at its relaxed geometry.

Output
raw formation energy	676	meV per atom
SG	P4/mmm, No. 123
size of the total moment	3.82	μB/f.u.
energy	-4.362	eV per atom
Fermi-level density of states	7.16	states/eV per cell

Unit cell a=6.1536 b=6.1536 c=4.8255 alpha=90.00 beta=90.00 gamma=90.00
Closest atoms and distances in Å follow each position.
Positions (direct):
1 Ba 0.0000 0.5000 0.0000  2 Se 3.08
2 Ba 0.5000 0.0000 0.0000  2 Se 3.08
3 Re 0.0000 0.0000 0.5000  8 Ba 3.91, 4 P 4.35
4 P 0.5000 0.5000 0.5000  2 Se 2.41
5 Se 0.5000 0.5000 0.0000  2 P 2.41

5.
## NbRh3Se (PBE-GGA)

Data for crystalline NbRh3Se at its relaxed geometry.

Output
raw formation energy	689	meV per atom
energy above the most stable polymorph in this dataset	0	kJ/mol of formula units
SG	Pm-3m, No. 221
size of the total moment	0.00	μB/f.u.
energy	-6.433	eV per atom
Fermi-level density of states	8.88	states/eV per cell

Unit cell a=4.5296 b=4.5296 c=4.5296 alpha=90.00 beta=90.00 gamma=90.00
Closest atoms and distances in Å follow each position.
Positions (direct):
1 Nb 0.0000 0.0000 0.0000  12 Rh 3.20
2 Rh 0.0000 0.5000 0.5000  2 Se 2.26
3 Rh 0.5000 0.0000 0.5000  2 Se 2.26
4 Rh 0.5000 0.5000 0.0000  2 Se 2.26
5 Se 0.5000 0.5000 0.5000  6 Rh 2.26

6.
## Th2FeHg (PBE-GGA)

Data for crystalline Th2FeHg at its relaxed geometry.

Output
energy above the most stable polymorph in this dataset	70	kJ/mol of formula units
SG	Ima2, No. 46
size of the total moment	0.00	μB/f.u.
energy of formation	-0.0151	eV/atom
energy	-5.916	eV per atom
Fermi-level density of states	6.29	states/eV per cell

Unit cell a=6.9661 b=6.9661 c=6.9661 alpha=135.41 beta=75.91 gamma=122.09
Closest atoms and distances in Å follow each position.
Positions (direct):
1 Th 0.1088 0.2500 0.3588  3 Fe 2.64-2.91
2 Th 0.5288 0.9537 0.0752  1 Fe 2.44
3 Th 0.8785 0.4537 0.9248  1 Fe 2.44
4 Th 0.8912 0.7500 0.6412  3 Fe 2.64-2.91
5 Fe 0.0780 0.4316 0.1464  2 Th 2.44-2.64
6 Fe 0.2852 0.9316 0.8536  2 Th 2.44-2.64
7 Hg 0.3732 0.2172 0.6561  1 Fe 2.90, 3 Th 3.16-3.21
8 Hg 0.5611 0.7172 0.3439  1 Fe 2.90, 3 Th 3.16-3.21

7.
## EuHoEr2 (PBE-GGA)

Data for crystalline EuHoEr2 at its relaxed geometry.

Output
energy above the most stable polymorph in this dataset	38	kJ/mol of formula units
SG	R-3m, No. 166
size of the total moment	7.76	μB/f.u.
energy of formation	0.1650	eV/atom
energy	-5.829	eV per atom
Fermi-level density of states	5.39	states/eV per cell

Unit cell a=12.6060 b=12.6060 c=12.6060 alpha=15.99 beta=15.99 gamma=15.99
Closest atoms and distances in Å follow each position.
Positions (direct):
1 Eu 0.0000 0.0000 0.0000  2 Er 3.42, 6 Eu 3.51
2 Ho 0.5000 0.5000 0.5000  6 Er 3.46, 6 Ho 3.51
3 Er 0.0915 0.0915 0.0915  1 Eu 3.42, 3 Ho 3.46, 6 Er 3.51
4 Er 0.9085 0.9085 0.9085  1 Eu 3.42, 3 Ho 3.46, 6 Er 3.51

8.
## YTa2Zn (PBE-GGA)

Data for crystalline YTa2Zn at its relaxed geometry.

Output
SG	I4/mmm, No. 139
size of the total moment	0.00	μB/f.u.
energy of formation	0.2750	eV/atom
energy	-7.586	eV per atom
Fermi-level density of states	3.72	states/eV per cell

Unit cell a=5.5227 b=5.5227 c=5.5227 alpha=136.10 beta=136.10 gamma=63.82
Closest atoms and distances in Å follow each position.
Positions (direct):
1 Y 0.0000 0.0000 0.0000  4 Zn 2.92, 8 Ta 3.12
2 Ta 0.2500 0.7500 0.5000  4 Ta 2.92, 4 Zn 3.12, 4 Y 3.12
3 Ta 0.7500 0.2500 0.5000  4 Ta 2.92, 4 Zn 3.12, 4 Y 3.12
4 Zn 0.5000 0.5000 0.0000  4 Y 2.92, 8 Ta 3.12

9.
## RbUAgTe4 (PBE-GGA)

Data for crystalline RbUAgTe4 at its relaxed geometry.

Output
raw formation energy	-549	meV per atom
SG	P2_1/m, No. 11
size of the total moment	1.20	μB/f.u.
energy	-4.502	eV per atom
Fermi-level density of states	13.00	states/eV per cell

Unit cell a=7.8123 b=6.2742 c=10.4248 alpha=90.00 beta=109.82 gamma=90.00
Closest atoms and distances in Å follow each position.
Positions (direct):
1 Rb 0.2264 0.2500 0.0544  6 Te 3.65-3.91, 2 Ag 4.07
2 Rb 0.7736 0.7500 0.9456  6 Te 3.65-3.91, 2 Ag 4.07
3 U 0.2750 0.2500 0.5572  6 Te 2.98-3.26
4 U 0.7250 0.7500 0.4428  6 Te 2.98-3.26
5 Ag 0.2651 0.7500 0.3116  4 Te 2.69-2.82
6 Ag 0.7349 0.2500 0.6884  4 Te 2.69-2.82
7 Te 0.0322 0.5095 0.6932  1 Ag 2.82, 1 Te 3.02
8 Te 0.0322 0.9905 0.6932  1 Ag 2.82, 1 Te 3.02
9 Te 0.4399 0.7500 0.5908  1 Ag 2.76
10 Te 0.4754 0.7500 0.1539  1 Ag 2.69, 1 U 2.98
11 Te 0.5246 0.2500 0.8461  1 Ag 2.69, 1 U 2.98
12 Te 0.5601 0.2500 0.4092  1 Ag 2.76
13 Te 0.9678 0.0095 0.3068  1 Ag 2.82, 1 Te 3.02
14 Te 0.9678 0.4905 0.3068  1 Ag 2.82, 1 Te 3.02

10.
## Y2TmGaN (PBE-GGA)

Data for crystalline Y2TmGaN at its relaxed geometry.

Output
raw formation energy	-995	meV per atom
SG	P4/mmm, No. 123
size of the total moment	0.00	μB/f.u.
energy	-6.746	eV per atom
Fermi-level density of states	2.37	states/eV per cell

Unit cell a=4.7594 b=4.7594 c=4.6685 alpha=90.00 beta=90.00 gamma=90.00
Closest atoms and distances in Å follow each position.
Positions (direct):
1 Y 0.0000 0.5000 0.0000  2 N 2.38
2 Y 0.5000 0.0000 0.0000  2 N 2.38
3 Tm 0.0000 0.0000 0.5000  2 N 2.33
4 Ga 0.5000 0.5000 0.5000  8 Y 3.33, 4 Tm 3.37
5 N 0.0000 0.0000 0.0000  2 Tm 2.33, 4 Y 2.38

11.
## CeSmSc2 (PBE-GGA)

Data for crystalline CeSmSc2 at its relaxed geometry.

Output
energy above the most stable polymorph in this dataset	2	kJ/mol of formula units
SG	R3m, No. 160
size of the total moment	0.02	μB/f.u.
energy of formation	0.0751	eV/atom
energy	-5.754	eV per atom
Fermi-level density of states	8.41	states/eV per cell

Unit cell a=11.0798 b=11.0798 c=11.0798 alpha=17.70 beta=17.70 gamma=17.70
Closest atoms and distances in Å follow each position.
Positions (direct):
1 Ce 0.0000 0.0000 0.0000  6 Sc 3.29, 6 Ce 3.41
2 Sm 0.8340 0.8340 0.8340  6 Sm 3.41, 6 Sc 3.42-3.45
3 Sc 0.4139 0.4139 0.4139  3 Ce 3.29, 6 Sc 3.41, 3 Sm 3.45
4 Sc 0.5863 0.5863 0.5863  3 Ce 3.29, 6 Sc 3.41, 3 Sm 3.42

12.
## TbPuMnCo (PBE-GGA)

Data for crystalline TbPuMnCo at its relaxed geometry.

Output
SG	F-43m, No. 216
size of the total moment	1.93	μB/f.u.
energy of formation	0.0620	eV/atom
energy	-8.747	eV per atom
Fermi-level density of states	6.01	states/eV per cell

Unit cell a=4.7658 b=4.7658 c=4.7658 alpha=60.00 beta=60.00 gamma=60.00
Closest atoms and distances in Å follow each position.
Positions (direct):
1 Tb 0.0000 0.0000 0.0000  4 Co 2.92, 4 Mn 2.92
2 Pu 0.5000 0.5000 0.5000  4 Co 2.92, 4 Mn 2.92
3 Mn 0.2500 0.2500 0.2500  4 Tb 2.92, 4 Pu 2.92
4 Co 0.7500 0.7500 0.7500  4 Tb 2.92, 4 Pu 2.92

Question: Which value of energy does entry 1 give?
Answer: -5.564 eV per atom

Question: The lowest Fermi-level density of states belongs to which entry?
Answer: MgTaH

Question: Which of these has the highest energy?
Answer: LiTlIn14